No. 1
MgNiC3: optimized geometry, PBE.

## Properties
formation enthalpy at 0 K: 15.87 eV/f.u.

Lattice parameters (Å, degrees): 4.0000 4.0000 4.0000 90.00 90.00 90.00
Last column: nearest neighbours and their distance in Å.
Fractional positions:
C 0.0000 0.5000 0.0000  2 Mg 2.00
C 0.5000 0.0000 0.0000  2 Mg 2.00
C 0.0000 0.0000 0.5000  2 Mg 2.00
Mg 0.0000 0.0000 0.0000  6 C 2.00
Ni 0.5000 0.5000 0.5000  12 C 2.83


No. 2
Mg6NiC: optimized geometry, PBE.

## Properties
formation enthalpy at 0 K: 2.00 eV/f.u.

Lattice parameters (Å, degrees): 6.8249 6.8249 3.3160 90.00 90.00 109.48
Last column: nearest neighbours and their distance in Å.
Fractional positions:
Mg 0.5797 0.7763 0.0000  2 C 2.29
Mg 0.6420 0.3580 0.0000  8 Mg 2.93-3.06
Mg 0.3409 0.0085 0.5000  1 C 2.36
Mg 0.9915 0.6591 0.5000  1 C 2.36
Mg 0.8591 0.1409 0.5000  2 Ni 2.49
Mg 0.2237 0.4203 0.0000  2 C 2.29
C 0.3379 0.6621 0.5000  6 Mg 2.29-2.36
Ni 0.0252 0.9748 0.0000  6 Mg 2.49-2.67


Record order is preserved below.
Excess energy over the best structure of this formula in the dataset: 1231 0 meV per atom
Record order is preserved below.
Final energy: -19.18 -22.58 eV for the cell shown
Record order is preserved below.
Magnetization: 0.0 0.0 μB per formula unit